# ScIn2NiBr6

A relaxed structure of ScIn2NiBr6 (PBE, OQMD).

Cell lengths 10.5360, 10.5360, 10.5360 Å; angles 90.00, 90.00, 90.00 degrees
Space group Fm-3m (No. 225)
Inequivalent atoms, fractional coordinates:
Sc  0.0000  0.0000  0.0000
In  0.2500  0.2500  0.2500
Ni  0.0000  0.0000  0.5000
Br  0.0000  0.0000  0.2525

The calculated total energy comes out at -3.591 eV per atom.


# HoPtNO

A relaxed structure of HoPtNO (PBE, OQMD).

Cell lengths 4.1713, 4.1713, 6.9994 Å; angles 90.00, 90.00, 90.00 degrees
Space group P4/nmm (No. 129, origin choice 2)
Inequivalent atoms, fractional coordinates:
Ho  0.2500  0.2500  0.1310
Pt  0.2500  0.7500  0.5000
N  0.2500  0.2500  0.4512
O  0.2500  0.7500  0.0000

The calculated total energy comes out at -7.324 eV per atom. As for the relative energy among the computed polymorphs: 0.000 eV/atom.


# TbBeFe

A relaxed structure of TbBeFe (PBE, OQMD).

Cell lengths 5.9621, 5.9621, 5.9621 Å; angles 90.00, 90.00, 90.00 degrees
Space group F-43m (No. 216)
Inequivalent atoms, fractional coordinates:
Tb  0.0000  0.0000  0.0000
Be  0.0000  0.0000  0.5000
Fe  0.2500  0.2500  0.7500

The calculated total energy comes out at -4.983 eV per atom. As for the relative energy among the computed polymorphs: 0.098 eV/atom.


# ErTc

A relaxed structure of ErTc (PBE, OQMD).

Cell lengths 3.3265, 3.3265, 4.2630 Å; angles 90.00, 90.00, 120.00 degrees
Space group P-6m2 (No. 187)
Inequivalent atoms, fractional coordinates:
Er  0.0000  0.0000  0.0000
Tc  0.6667  0.3333  0.5000

The calculated total energy comes out at -7.063 eV per atom. The value obtained for the formation energy from the elements is 0.40 eV per atom.


# DyEr2Sc3P2Os

A relaxed structure of DyEr2Sc3P2Os (PBE, OQMD).

Cell lengths 4.0543, 12.8011, 7.3713 Å; angles 90.00, 90.00, 90.00 degrees
Space group Amm2 (No. 38)
Inequivalent atoms, fractional coordinates:
Dy  0.0000  0.0000  0.0000
Er  0.0000  0.2061  0.6184
Sc  0.5000  0.0000  0.6587
Sc  0.5000  0.1202  0.2920
P  0.5000  0.1682  0.9124
Os  0.0000  0.0000  0.4188

The calculated total energy comes out at -6.946 eV per atom.


# MgFe2S4

A relaxed structure of MgFe2S4 (PBE, OQMD).

Cell lengths 7.0482, 7.0482, 9.8212 Å; angles 90.00, 90.00, 90.00 degrees
Space group P4_122 (No. 91)
Inequivalent atoms, fractional coordinates:
Mg  0.0000  0.2526  0.0000
Fe  0.2552  0.2552  0.3750
Fe  0.2567  0.5000  0.7500
S  0.0204  0.2705  0.7407
S  0.2717  0.4908  0.9835

The calculated total energy comes out at -5.499 eV per atom.


# BePtSeO

A relaxed structure of BePtSeO (PBE, OQMD).

Cell lengths 5.7771, 7.3662, 5.4045 Å; angles 90.00, 90.00, 90.00 degrees
Space group Pca2_1 (No. 29)
Inequivalent atoms, fractional coordinates:
Be  0.9996  0.0000  0.0000
Pt  0.2265  0.1632  0.2501
Se  0.1655  0.6682  0.7583
O  0.0919  0.4425  0.7617

The calculated total energy comes out at -4.793 eV per atom. As for the relative energy among the computed polymorphs: 0.630 eV/atom.


# SiGeW4N2

A relaxed structure of SiGeW4N2 (PBE, OQMD).

Cell lengths 2.9013, 2.9013, 14.0067 Å; angles 90.00, 90.00, 120.00 degrees
Space group P-6m2 (No. 187)
Inequivalent atoms, fractional coordinates:
Si  0.0000  0.0000  0.0000
Ge  0.3333  0.6667  0.5000
W  0.0000  0.0000  0.3468
W  0.3333  0.6667  0.1425
N  0.6667  0.3333  0.2462

The calculated total energy comes out at -9.615 eV per atom.


# Li4In2CuHg

A relaxed structure of Li4In2CuHg (PBE, OQMD).

Cell lengths 4.5643, 4.5643, 6.5459 Å; angles 90.00, 90.00, 90.00 degrees
Space group P-4m2 (No. 115)
Inequivalent atoms, fractional coordinates:
Li  0.0000  0.0000  0.0000
Li  0.0000  0.5000  0.2399
Li  0.5000  0.5000  0.5000
In  0.0000  0.5000  0.7785
Cu  0.5000  0.5000  0.0000
Hg  0.0000  0.0000  0.5000

The calculated total energy comes out at -2.411 eV per atom.


# CuCl2

A relaxed structure of CuCl2 (PBE, OQMD).

Cell lengths 7.4276, 3.2815, 6.4459 Å; angles 90.00, 117.28, 90.00 degrees
Space group C2/m (No. 12)
Inequivalent atoms, fractional coordinates:
Cu  0.0000  0.0000  0.0000
Cl  0.0086  0.5000  0.7617

The calculated total energy comes out at -2.945 eV per atom.


# GdInPdPt

A relaxed structure of GdInPdPt (PBE, OQMD).

Cell lengths 4.6149, 4.6149, 9.0197 Å; angles 90.00, 90.00, 120.00 degrees
Space group P-6m2 (No. 187)
Inequivalent atoms, fractional coordinates:
Gd  0.0000  0.0000  0.0000
Gd  0.3333  0.6667  0.5000
In  0.6667  0.3333  0.2495
Pd  0.0000  0.0000  0.3388
Pt  0.3333  0.6667  0.1641

The calculated total energy comes out at -5.554 eV per atom. As for the relative energy among the computed polymorphs: 0.007 eV/atom.


# Y2LuB

A relaxed structure of Y2LuB (PBE, OQMD).

Cell lengths 7.1396, 7.1396, 7.1396 Å; angles 90.00, 90.00, 90.00 degrees
Space group F-43m (No. 216)
Inequivalent atoms, fractional coordinates:
Y  0.0000  0.0000  0.0000
Y  0.2500  0.2500  0.2500
Lu  0.2500  0.2500  0.7500
B  0.0000  0.0000  0.5000

The calculated total energy comes out at -5.273 eV per atom.